VASP calculation (PBE) on crystalline Sr2Ge3Pt4Au at its relaxed geometry.

Unit cell a=4.481 b=4.481 c=10.343 alpha=90.00 beta=90.00 gamma=90.00
Fractional coordinates of all 10 atoms:
Sr  0.000  0.500  0.246
Sr  0.500  0.000  0.754
Ge  0.000  0.000  0.000
Ge  0.000  0.500  0.618
Ge  0.500  0.000  0.382
Pt  0.000  0.000  0.500
Pt  0.000  0.500  0.854
Pt  0.500  0.000  0.146
Pt  0.500  0.500  0.500
Au  0.500  0.500  0.000

- Fermi-level density of states (states/eV per atom) = 0.4388
- space group = P-4m2
- size of the total moment (μB/cell) = 0.0
- V (Å³ per cell) = 207.7
- VASP energy (eV/atom) = -5.191
- calculated formation energy (eV per atom) = -0.73

VASP calculation (PBE) on crystalline AcMnCoSi2 at its relaxed geometry.

Unit cell a=4.119 b=4.119 c=10.423 alpha=90.00 beta=90.00 gamma=90.00
Fractional coordinates of all 10 atoms:
Ac  0.000  0.000  0.000
Ac  0.500  0.500  0.500
Mn  0.000  0.500  0.750
Mn  0.500  0.000  0.250
Co  0.000  0.500  0.250
Co  0.500  0.000  0.750
Si  0.000  0.000  0.349
Si  0.000  0.000  0.651
Si  0.500  0.500  0.151
Si  0.500  0.500  0.849

- Fermi-level density of states (states/eV per atom) = 0.6041
- space group = I-4m2
- size of the total moment (μB/cell) = 1.2
- formation energy from raw total energies (kcal/mol of atoms) = -12.33
- V (Å³ per cell) = 176.8
- VASP energy (eV/atom) = -6.781